First-principles (PBE) data for an optimized crystal structure of VIN2, as listed in the Alexandria database.

Cell and atoms, written as CIF:
```
data_VIN2
_chemical_formula_sum 'V2 I2 N4'
_space_group_name_H-M_alt 'P 1'
_space_group_IT_number 1
_space_group_name_Hall 'P 1'
_cell_length_a 5.880
_cell_length_b 5.880
_cell_length_c 5.883
_cell_angle_alpha 60.02
_cell_angle_beta 60.02
_cell_angle_gamma 90.00
loop_
_atom_site_label
_atom_site_type_symbol
_atom_site_fract_x
_atom_site_fract_y
_atom_site_fract_z
V1 V 0.500 0.500 0.000
V2 V 0.250 0.750 0.500
N1 N 0.374 0.125 0.250
N2 N 0.376 0.625 0.250
N3 N 0.375 0.626 0.750
N4 N 0.875 0.624 0.750
I1 I 0.750 0.250 0.500
I2 I 0.000 0.000 0.000
```

Output
- Electronic total energy: -6.59 eV per atom
- ΔE_f (raw): 0.236 eV per atom
- Fermi-level density of states: 4.60 states/eV/f.u.
- Energy above the most stable polymorph in this dataset: 0.000 eV per atom


First-principles (PBE) data for an optimized crystal structure of V3IN, as listed in the Alexandria database.

Cell and atoms, written as CIF:
```
data_V3IN
_chemical_formula_sum 'V3 I1 N1'
_space_group_name_H-M_alt 'P 1'
_space_group_IT_number 1
_space_group_name_Hall 'P 1'
_cell_length_a 5.179
_cell_length_b 5.179
_cell_length_c 5.179
_cell_angle_alpha 90.00
_cell_angle_beta 90.00
_cell_angle_gamma 90.00
loop_
_atom_site_label
_atom_site_type_symbol
_atom_site_fract_x
_atom_site_fract_y
_atom_site_fract_z
V1 V 0.000 0.500 0.000
V2 V 0.500 0.000 0.000
V3 V 0.000 0.000 0.500
I1 I 0.000 0.000 0.000
N1 N 0.500 0.500 0.500
```

Output
- Electronic total energy: -4.90 eV per atom
- ΔE_f (raw): 2.543 eV per atom
- Fermi-level density of states: 9.02 states/eV/f.u.
- Energy above the most stable polymorph in this dataset: 2.489 eV per atom


First-principles (PBE) data for an optimized crystal structure of V2IN, as listed in the Alexandria database.

Cell and atoms, written as CIF:
```
data_V2IN
_chemical_formula_sum 'V4 I2 N2'
_space_group_name_H-M_alt 'P 1'
_space_group_IT_number 1
_space_group_name_Hall 'P 1'
_cell_length_a 5.332
_cell_length_b 5.332
_cell_length_c 6.308
_cell_angle_alpha 65.00
_cell_angle_beta 65.00
_cell_angle_gamma 90.00
loop_
_atom_site_label
_atom_site_type_symbol
_atom_site_fract_x
_atom_site_fract_y
_atom_site_fract_z
V1 V 0.375 0.500 0.750
V2 V 0.875 0.750 0.750
V3 V 0.500 0.125 0.250
V4 V 0.250 0.625 0.250
N1 N 0.500 0.500 0.000
N2 N 0.250 0.750 0.500
I1 I 0.000 0.000 0.000
I2 I 0.750 0.250 0.500
```

Output
- Electronic total energy: -7.09 eV per atom
- ΔE_f (raw): -0.067 eV per atom
- Fermi-level density of states: 3.94 states/eV/f.u.


First-principles (PBE) data for an optimized crystal structure of VI2N2, as listed in the Alexandria database.

Cell and atoms, written as CIF:
```
data_VI2N2
_chemical_formula_sum 'V1 I2 N2'
_space_group_name_H-M_alt 'P 1'
_space_group_IT_number 1
_space_group_name_Hall 'P 1'
_cell_length_a 4.048
_cell_length_b 4.048
_cell_length_c 7.364
_cell_angle_alpha 90.00
_cell_angle_beta 90.00
_cell_angle_gamma 90.00
loop_
_atom_site_label
_atom_site_type_symbol
_atom_site_fract_x
_atom_site_fract_y
_atom_site_fract_z
I1 I 0.000 0.000 0.000
I2 I 0.000 0.000 0.500
V1 V 0.500 0.500 0.500
N1 N 0.500 0.000 0.000
N2 N 0.000 0.500 0.000
```

Output
- Electronic total energy: -3.63 eV per atom
- ΔE_f (raw): 2.147 eV per atom
- Fermi-level density of states: 10.17 states/eV/f.u.
- Energy above the most stable polymorph in this dataset: 1.186 eV per atom


First-principles (PBE) data for an optimized crystal structure of V2IN, as listed in the Alexandria database.

Cell and atoms, written as CIF:
```
data_V2IN
_chemical_formula_sum 'V2 I1 N1'
_space_group_name_H-M_alt 'P 1'
_space_group_IT_number 1
_space_group_name_Hall 'P 1'
_cell_length_a 4.299
_cell_length_b 4.299
_cell_length_c 4.299
_cell_angle_alpha 60.00
_cell_angle_beta 60.00
_cell_angle_gamma 60.00
loop_
_atom_site_label
_atom_site_type_symbol
_atom_site_fract_x
_atom_site_fract_y
_atom_site_fract_z
N1 N 0.000 0.000 0.000
V1 V 0.250 0.250 0.250
V2 V 0.750 0.750 0.750
I1 I 0.500 0.500 0.500
```

Output
- Electronic total energy: -6.11 eV per atom
- ΔE_f (raw): 0.922 eV per atom
- Fermi-level density of states: 4.19 states/eV/f.u.


First-principles (PBE) data for an optimized crystal structure of VIN2, as listed in the Alexandria database.

Cell and atoms, written as CIF:
```
data_VIN2
_chemical_formula_sum 'V1 I1 N2'
_space_group_name_H-M_alt 'P 1'
_space_group_IT_number 1
_space_group_name_Hall 'P 1'
_cell_length_a 7.063
_cell_length_b 7.063
_cell_length_c 7.063
_cell_angle_alpha 26.52
_cell_angle_beta 26.52
_cell_angle_gamma 26.52
loop_
_atom_site_label
_atom_site_type_symbol
_atom_site_fract_x
_atom_site_fract_y
_atom_site_fract_z
N1 N 0.910 0.910 0.910
N2 N 0.090 0.090 0.090
I1 I 0.500 0.500 0.500
V1 V 0.000 0.000 0.000
```

Output
- Electronic total energy: -5.25 eV per atom
- ΔE_f (raw): 1.582 eV per atom
- Fermi-level density of states: 3.44 states/eV/f.u.
- Energy above the most stable polymorph in this dataset: 1.346 eV per atom


First-principles (PBE) data for an optimized crystal structure of VI2N2, as listed in the Alexandria database.

Cell and atoms, written as CIF:
```
data_VI2N2
_chemical_formula_sum 'V1 I2 N2'
_space_group_name_H-M_alt 'P 1'
_space_group_IT_number 1
_space_group_name_Hall 'P 1'
_cell_length_a 5.555
_cell_length_b 5.555
_cell_length_c 3.659
_cell_angle_alpha 90.00
_cell_angle_beta 90.00
_cell_angle_gamma 90.00
loop_
_atom_site_label
_atom_site_type_symbol
_atom_site_fract_x
_atom_site_fract_y
_atom_site_fract_z
V1 V 0.000 0.000 0.000
N1 N 0.500 0.500 0.500
N2 N 0.000 0.000 0.500
I1 I 0.500 0.000 0.000
I2 I 0.000 0.500 0.000
```

Output
- Electronic total energy: -4.73 eV per atom
- ΔE_f (raw): 1.047 eV per atom
- Fermi-level density of states: 3.07 states/eV/f.u.
- Energy above the most stable polymorph in this dataset: 0.085 eV per atom


First-principles (PBE) data for an optimized crystal structure of VI2N2, as listed in the Alexandria database.

Cell and atoms, written as CIF:
```
data_VI2N2
_chemical_formula_sum 'V1 I2 N2'
_space_group_name_H-M_alt 'P 1'
_space_group_IT_number 1
_space_group_name_Hall 'P 1'
_cell_length_a 3.244
_cell_length_b 3.244
_cell_length_c 7.959
_cell_angle_alpha 78.24
_cell_angle_beta 78.24
_cell_angle_gamma 90.00
loop_
_atom_site_label
_atom_site_type_symbol
_atom_site_fract_x
_atom_site_fract_y
_atom_site_fract_z
N1 N 0.750 0.250 0.500
N2 N 0.250 0.750 0.500
I1 I 0.610 0.610 0.779
I2 I 0.390 0.390 0.221
V1 V 0.000 0.000 0.000
```

Output
- Electronic total energy: -3.80 eV per atom
- ΔE_f (raw): 1.974 eV per atom
- Fermi-level density of states: 4.33 states/eV/f.u.
- Energy above the most stable polymorph in this dataset: 1.013 eV per atom